No. 1
# GGA-PBE SiIrPt2, optimized geometry
data_SiIrPt2
_symmetry_space_group_name_H-M 'P 4/m m m'
_symmetry_Int_Tables_number 123
_symmetry_space_group_name_Hall '-P 4 2'
_cell_length_a 2.845
_cell_length_b 2.845
_cell_length_c 7.206
_cell_angle_alpha 90.00
_cell_angle_beta 90.00
_cell_angle_gamma 90.00
loop_
_atom_site_label
_atom_site_type_symbol
_atom_site_fract_x
_atom_site_fract_y
_atom_site_fract_z
Si1 Si 0.000 0.000 0.000
Ir1 Ir 0.000 0.000 0.500
Pt1 Pt 0.500 0.500 0.219
# crystal system = tetragonal
# uncorrected formation energy = -0.12 eV/atom
# total DFT energy (no corrections) = -26.9 eV for the cell shown

***

No. 2
# GGA-PBE Si2IrPt, optimized geometry
data_Si2IrPt
_symmetry_space_group_name_H-M 'C 1 m 1'
_symmetry_Int_Tables_number 8
_symmetry_space_group_name_Hall 'C -2y'
_cell_length_a 12.484
_cell_length_b 2.744
_cell_length_c 3.741
_cell_angle_alpha 90.00
_cell_angle_beta 90.34
_cell_angle_gamma 90.00
loop_
_atom_site_label
_atom_site_type_symbol
_atom_site_fract_x
_atom_site_fract_y
_atom_site_fract_z
Si1 Si 0.000 0.000 0.000
Si2 Si 0.238 0.000 0.491
Ir1 Ir 0.163 0.500 0.990
Pt1 Pt 0.433 0.000 0.499
# crystal system = monoclinic
# relative energy among the computed polymorphs = 0.067 eV per atom
# uncorrected formation energy = -0.52 eV/atom
# total DFT energy (no corrections) = -55.6 eV for the cell shown

***

No. 3
# GGA-PBE Si4IrPt, optimized geometry
data_Si4IrPt
_symmetry_space_group_name_H-M 'F -4 3 m'
_symmetry_Int_Tables_number 216
_symmetry_space_group_name_Hall 'F -4 2 3'
_cell_length_a 7.000
_cell_length_b 7.000
_cell_length_c 7.000
_cell_angle_alpha 90.00
_cell_angle_beta 90.00
_cell_angle_gamma 90.00
loop_
_atom_site_label
_atom_site_type_symbol
_atom_site_fract_x
_atom_site_fract_y
_atom_site_fract_z
Si1 Si 0.125 0.125 0.125
Ir1 Ir 0.250 0.250 0.750
Pt1 Pt 0.000 0.000 0.500
# crystal system = cubic
# uncorrected formation energy = 0.42 eV/atom
# total DFT energy (no corrections) = -136.2 eV for the cell shown

***

No. 4
# GGA-PBE Si2IrPt, optimized geometry
data_Si2IrPt
_symmetry_space_group_name_H-M 'R -3 m'
_symmetry_Int_Tables_number 166
_symmetry_space_group_name_Hall '-R 3 2"'
_cell_length_a 2.9024
_cell_length_b 2.9024
_cell_length_c 23.2651
_cell_angle_alpha 90.00
_cell_angle_beta 90.00
_cell_angle_gamma 120.00
loop_
_atom_site_label
_atom_site_type_symbol
_atom_site_fract_x
_atom_site_fract_y
_atom_site_fract_z
Si1 Si 0.0000 0.0000 0.2482
Ir1 Ir 0.0000 0.0000 0.5000
Pt1 Pt 0.0000 0.0000 0.0000
# crystal system = trigonal
# relative energy among the computed polymorphs = 0.184 eV per atom
# uncorrected formation energy = -0.40 eV/atom
# total DFT energy (no corrections) = -82.0 eV for the cell shown

***

Q: The lowest total DFT energy (no corrections) belongs to which entry?
A: Si4IrPt

***

Q: Which formula does entry 2 have?
A: Si2IrPt

***

Q: Among the records above, which one has the highest total DFT energy (no corrections)?
A: SiIrPt2